CaPr2Lu | PBE | optimized geometry

Properties
energy of formation: 37 kJ/mol of formula units
symmetry: P4/mmm, No. 123
crystal system: tetragonal
theoretical density: 5.896 g/cm³
total magnetic moment: 0.000 μB/atom
VASP energy: -3.92 eV/atom
distance to the lowest polymorph of the same formula: 34 meV/atom

extended XYZ file:
```
4
Lattice="5.3203 0.0000 0.0000 0.0000 5.3203 0.0000 0.0000 0.0000 4.9437" Properties=species:S:1:pos:R:3 pbc="T T T"
Ca 0.0000 0.0000 0.0000
Pr 0.0000 2.6602 2.4718
Pr 2.6602 0.0000 2.4718
Lu 2.6602 2.6602 0.0000
```